No. 1
Compound: TmSiRuRh
Source: Alexandria
Functional: GGA-PBE
Structure: relaxed

Structure (CIF):
```
data_TmSiRuRh
_cell_length_a 6.295
_cell_length_b 6.295
_cell_length_c 6.295
_cell_angle_alpha 90.00
_cell_angle_beta 90.00
_cell_angle_gamma 90.00
_symmetry_space_group_name_H-M 'F -4 3 m'
_symmetry_Int_Tables_number 216
_symmetry_space_group_name_Hall 'F -4 2 3'
loop_
_atom_site_label
_atom_site_type_symbol
_atom_site_fract_x
_atom_site_fract_y
_atom_site_fract_z
Tm1 Tm 0.000 0.000 0.000
Si1 Si 0.000 0.000 0.500
Ru1 Ru 0.250 0.250 0.750
Rh1 Rh 0.250 0.250 0.250
```

Results
Its total DFT energy (no corrections) is -0.2695 Ha/atom. The uncorrected formation energy is -704 meV/atom.

No. 2
Compound: TbTiGaCu
Source: Alexandria
Functional: GGA-PBE
Structure: relaxed

Structure (CIF):
```
data_TbTiGaCu
_cell_length_a 6.709
_cell_length_b 6.709
_cell_length_c 6.709
_cell_angle_alpha 90.00
_cell_angle_beta 90.00
_cell_angle_gamma 90.00
_symmetry_space_group_name_H-M 'F -4 3 m'
_symmetry_Int_Tables_number 216
_symmetry_space_group_name_Hall 'F -4 2 3'
loop_
_atom_site_label
_atom_site_type_symbol
_atom_site_fract_x
_atom_site_fract_y
_atom_site_fract_z
Tb1 Tb 0.000 0.000 0.000
Ti1 Ti 0.000 0.000 0.500
Ga1 Ga 0.250 0.250 0.250
Cu1 Cu 0.250 0.250 0.750
```

Results
The energy of formation from the pure elements is -227 meV/atom. Its total DFT energy (no corrections) is -0.1889 Ha/atom.

No. 3
Compound: ScCuS3
Source: Alexandria
Functional: GGA-PBE
Structure: relaxed

Structure (CIF):
```
data_ScCuS3
_cell_length_a 4.876
_cell_length_b 4.876
_cell_length_c 4.876
_cell_angle_alpha 90.00
_cell_angle_beta 90.00
_cell_angle_gamma 90.00
_symmetry_space_group_name_H-M 'P m -3 m'
_symmetry_Int_Tables_number 221
_symmetry_space_group_name_Hall '-P 4 2 3'
loop_
_atom_site_label
_atom_site_type_symbol
_atom_site_fract_x
_atom_site_fract_y
_atom_site_fract_z
Sc1 Sc 0.000 0.000 0.000
Cu1 Cu 0.500 0.500 0.500
S1 S 0.000 0.000 0.500
```

Results
Its total DFT energy (no corrections) is -0.1694 Ha/atom. As for the energy above the lowest structure with this stoichiometry: 1.07 eV per formula unit. The uncorrected formation energy is -48 meV/atom.

No. 4
Compound: PmNdCuHg
Source: Alexandria
Functional: GGA-PBE
Structure: relaxed

Structure (CIF):
```
data_PmNdCuHg
_cell_length_a 7.443
_cell_length_b 7.443
_cell_length_c 7.443
_cell_angle_alpha 90.00
_cell_angle_beta 90.00
_cell_angle_gamma 90.00
_symmetry_space_group_name_H-M 'F -4 3 m'
_symmetry_Int_Tables_number 216
_symmetry_space_group_name_Hall 'F -4 2 3'
loop_
_atom_site_label
_atom_site_type_symbol
_atom_site_fract_x
_atom_site_fract_y
_atom_site_fract_z
Pm1 Pm 0.000 0.000 0.000
Nd1 Nd 0.000 0.000 0.500
Cu1 Cu 0.250 0.250 0.250
Hg1 Hg 0.250 0.250 0.750
```

Results
The energy of formation from the pure elements is -283 meV/atom. Its total DFT energy (no corrections) is -0.1383 Ha/atom. As for the energy above the lowest structure with this stoichiometry: 0.08 eV per formula unit.